VASP calculation (SCAN) on a crystal of Nd3Ga10Ni relaxed with PBEsol.

abc: 4.182 4.219 15.132
angles: 90.00 90.00 90.00
Fractional coordinates of all 14 atoms:
Nd1 0.000 0.000 0.000
Nd2 0.000 0.500 0.251
Nd3 0.000 0.500 0.749
Ga1 0.000 0.000 0.415
Ga2 0.000 0.000 0.585
Ga3 0.500 0.000 0.158
Ga4 0.500 0.000 0.316
Ga5 0.500 0.000 0.684
Ga6 0.500 0.000 0.842
Ga7 0.500 0.500 0.080
Ga8 0.500 0.500 0.415
Ga9 0.500 0.500 0.585
Ga10 0.500 0.500 0.920
Ni1 0.000 0.500 0.500

Properties
Crystal system = orthorhombic
M_tot = 0.00 Bohr magnetons per cell
Formation enthalpy at 0 K = -680 meV/atom